A plane-wave DFT calculation with PBE was carried out for a relaxed structure of LaNdSm6. Values from VASP.

Quantum ESPRESSO input file:
```
&SYSTEM
  ibrav = 0, nat = 8, ntyp = 3
/
ATOMIC_SPECIES
La 138.91 La.upf
Nd 144.24 Nd.upf
Sm 150.36 Sm.upf
ATOMIC_POSITIONS angstrom
La 2.5814 4.0375 3.2203
Nd 2.5814 0.0000 0.0000
Sm 2.5814 0.4090 3.6285
Sm 2.5814 3.6286 -0.4082
Sm 0.0000 2.0097 1.6029
Sm 0.0000 6.0654 4.8377
Sm 0.0000 5.6539 1.1937
Sm 0.0000 2.4211 5.2469
CELL_PARAMETERS angstrom
5.1629 0.0000 0.0000
0.0000 7.2571 -0.8164
0.0000 0.8180 7.2569
```

Calculated values
The value obtained for the formation energy is 0.0170 eV/atom. As for the volume: 34.42 A^3/atom. As for the total energy: -4.73 eV per atom.